Record 1
BaZn2Pt2: PBEsol geometry, meta-GGA SCAN.

extended XYZ file:
```
5
Lattice="-2.159 2.159 5.302 2.159 -2.159 5.302 2.159 2.159 -5.302" Properties=species:S:1:pos:R:3 pbc="T T T"
Ba 0.000 0.000 0.000
Zn 0.000 0.000 3.999
Zn 0.000 0.000 6.605
Pt 2.159 0.000 2.651
Pt 0.000 2.159 2.651
```

Values from the calculation:
Spin magnetization (μB per cell): 0.0
Space-group type: I4/mmm (139)
VASP energy (eV per formula unit): -210.10
ΔH_f (0 K) (eV per atom): -0.626

Record 2
YZr3: PBEsol geometry, meta-GGA SCAN.

extended XYZ file:
```
4
Lattice="3.258 0.000 0.000 -1.629 2.821 0.000 0.000 0.000 10.439" Properties=species:S:1:pos:R:3 pbc="T T T"
Y 0.000 0.000 0.000
Zr 0.000 0.000 5.219
Zr 1.629 0.940 2.730
Zr 1.629 0.940 7.709
```

Values from the calculation:
Spin magnetization (μB per cell): 0.0
Space-group type: P-6m2 (187)
VASP energy (eV per formula unit): -119.61
Energy above the lowest structure with this stoichiometry (meV per atom): 12
ΔH_f (0 K) (eV per atom): 0.082

Record 3
Cd2AsPt: PBEsol geometry, meta-GGA SCAN.

extended XYZ file:
```
4
Lattice="4.213 0.000 0.000 0.000 4.213 0.000 0.000 0.000 4.052" Properties=species:S:1:pos:R:3 pbc="T T T"
Cd 0.000 2.107 0.000
Cd 2.107 0.000 0.000
As 0.000 0.000 2.026
Pt 2.107 2.107 2.026
```

Values from the calculation:
Spin magnetization (μB per cell): 0.0
Space-group type: P4/mmm (123)
VASP energy (eV per formula unit): -151.44
ΔH_f (0 K) (eV per atom): -0.057

Record 4
ReRu3: PBEsol geometry, meta-GGA SCAN.

extended XYZ file:
```
4
Lattice="2.709 0.000 0.000 -1.354 2.346 0.000 0.000 0.000 8.563" Properties=species:S:1:pos:R:3 pbc="T T T"
Re 0.000 0.000 0.000
Ru 0.000 0.000 4.282
Ru 1.354 0.782 2.155
Ru 1.354 0.782 6.409
```

Values from the calculation:
Spin magnetization (μB per cell): 0.0
Space-group type: P-6m2 (187)
VASP energy (eV per formula unit): -175.74
Energy above the lowest structure with this stoichiometry (meV per atom): 36
ΔH_f (0 K) (eV per atom): -0.040